Entry 1:
## TlVAg2O4 (PBE+U)

Data for a relaxed structure of TlVAg2O4.

a b c (Å): 5.862 5.862 5.657
angles (deg): 121.17 121.17 90.05
Atoms (fractional coordinates):
Ag 0.250 0.750 0.500
Ag 0.750 0.250 0.500
Tl 0.000 0.000 0.000
O 0.459 0.805 0.264
O 0.541 0.541 0.736
O 0.195 0.195 0.736
O 0.805 0.459 0.264
V 0.500 0.500 0.000

SG: I-42m, No. 121
Final energy (eV per cell): -43.6
M_tot (μB per formula unit): 0.0



Entry 2:
## Tl2VAgO4 (PBE+U)

Data for a relaxed structure of Tl2VAgO4.

a b c (Å): 5.568 6.311 10.534
angles (deg): 83.30 74.67 63.82
Atoms (fractional coordinates):
O 0.533 0.190 0.097
O 0.370 0.810 0.097
O 0.277 0.190 0.903
O 0.473 0.310 0.597
O 0.217 0.310 0.403
O 0.821 0.810 0.903
O 0.929 0.690 0.597
O 0.380 0.690 0.403
Ag 0.000 0.000 0.000
Ag 0.750 0.500 0.500
Tl 0.569 0.500 0.862
Tl 0.181 0.000 0.638
Tl 0.819 0.000 0.362
Tl 0.931 0.500 0.138
V 0.250 0.500 0.500
V 0.500 0.000 0.000

SG: Fddd, No. 70
Final energy (eV per cell): -86.0
M_tot (μB per formula unit): 0.0



Entry 3:
## Tl2VAg2O6 (PBE+U)

Data for a relaxed structure of Tl2VAg2O6.

a b c (Å): 5.800 5.800 6.518
angles (deg): 84.95 84.95 120.64
Site moments in Bohr magnetons follow the coordinates.
Atoms (fractional coordinates):
O 0.254 0.952 0.674  -0.01
O 0.746 0.048 0.326  -0.01
O 0.048 0.746 0.326  -0.01
O 0.952 0.254 0.674  -0.01
O 0.686 0.686 0.650  -0.04
O 0.314 0.314 0.350  -0.04
Ag 0.152 0.848 0.000  0.00
Ag 0.848 0.152 0.000  0.00
Tl 0.666 0.334 0.500  0.02
Tl 0.334 0.666 0.500  0.02
V 0.000 0.000 0.500  1.03

SG: C2/m, No. 12
Final energy (eV per cell): -56.4
M_tot (μB per formula unit): 1.0



Entry 4:
## TlAgWO4 (PBE+U)

Data for a relaxed structure of TlAgWO4.

a b c (Å): 6.812 6.733 6.526
angles (deg): 90.00 102.66 90.00
Atoms (fractional coordinates):
O 0.146 0.528 0.327
O 0.146 0.972 0.327
O 0.511 0.750 0.272
O 0.489 0.250 0.728
O 0.854 0.472 0.673
O 0.598 0.250 0.316
O 0.854 0.028 0.673
O 0.402 0.750 0.684
Tl 0.736 0.750 0.949
Tl 0.264 0.250 0.051
W 0.697 0.250 0.595
W 0.303 0.750 0.405
Ag 0.858 0.750 0.445
Ag 0.142 0.250 0.555

SG: P2_1/m, No. 11
Final energy (eV per cell): -82.3
M_tot (μB per formula unit): 0.0



Entry 5:
## Tl3AgW2O8 (PBE+U)

Data for a relaxed structure of Tl3AgW2O8.

a b c (Å): 6.253 6.253 7.977
angles (deg): 90.00 90.00 120.00
Atoms (fractional coordinates):
O 0.175 0.825 0.286
O 0.175 0.350 0.286
O 0.667 0.333 0.020
O 0.825 0.650 0.714
O 0.650 0.825 0.286
O 0.333 0.667 0.980
O 0.825 0.175 0.714
O 0.350 0.175 0.714
Tl 0.000 0.000 0.000
Tl 0.333 0.667 0.665
Tl 0.667 0.333 0.335
W 0.667 0.333 0.792
W 0.333 0.667 0.208
Ag 0.000 0.000 0.500

SG: P-3m1, No. 164
Final energy (eV per cell): -83.5
M_tot (μB per formula unit): 0.0



Entry 6:
## Tl3AgW2O9 (PBE+U)

Data for a relaxed structure of Tl3AgW2O9.

a b c (Å): 5.762 5.762 7.638
angles (deg): 90.00 90.00 120.00
Site moments in Bohr magnetons follow the coordinates.
Atoms (fractional coordinates):
O 0.173 0.827 0.287  0.04
O 0.500 0.500 0.000  0.03
O 0.346 0.173 0.713  0.04
O 0.827 0.173 0.713  0.04
O 0.000 0.500 0.000  0.03
O 0.827 0.654 0.713  0.04
O 0.500 0.000 0.000  0.03
O 0.654 0.827 0.287  0.04
O 0.173 0.346 0.287  0.04
Tl 0.667 0.333 0.346  0.00
Tl 0.000 0.000 0.000  0.00
Tl 0.333 0.667 0.654  0.00
W 0.667 0.333 0.841  0.00
W 0.333 0.667 0.159  0.00
Ag 0.000 0.000 0.500  0.27

SG: P-3m1, No. 164
Final energy (eV per cell): -87.1
M_tot (μB per formula unit): 0.6



Entry 7:
## TlAgWO5 (PBE+U)

Data for a relaxed structure of TlAgWO5.

a b c (Å): 6.684 6.684 7.576
angles (deg): 101.96 101.96 117.91
Atoms (fractional coordinates):
O 0.342 0.953 0.645
O 0.076 0.924 0.250
O 0.801 0.558 0.437
O 0.442 0.199 0.063
O 0.924 0.076 0.750
O 0.953 0.342 0.145
O 0.558 0.801 0.937
O 0.199 0.442 0.563
O 0.658 0.047 0.355
O 0.047 0.658 0.855
Ag 0.286 0.714 0.250
Ag 0.714 0.286 0.750
Tl 0.000 0.000 0.500
Tl 0.000 0.000 0.000
W 0.714 0.286 0.250
W 0.286 0.714 0.750

SG: C2/c, No. 15
Final energy (eV per cell): -92.3
M_tot (μB per formula unit): 0.0



Entry 8:
## Tl2AgWO4 (PBE+U)

Data for a relaxed structure of Tl2AgWO4.

a b c (Å): 5.382 7.098 5.498
angles (deg): 106.72 115.38 90.66
Atoms (fractional coordinates):
O 0.829 0.497 0.262
O 0.660 0.642 0.721
O 0.399 0.775 0.207
O 0.984 0.924 0.615
Tl 0.485 0.044 0.005
Tl 0.252 0.341 0.540
Ag 0.060 0.454 0.975
W 0.717 0.709 0.450

SG: P1, No. 1
Final energy (eV per cell): -43.3
M_tot (μB per formula unit): 0.0